Compound: LiFe2OF3
Source: Alexandria via LeMat-Bulk
Functional: GGA-PBEsol
Structure: relaxed

Summary:
Theoretical density   4178 kg/m3
Total magnetic moment   8.00 μB/f.u.
Offset from the most stable computed form   0.00 eV per formula unit
Crystal system   trigonal
Raw formation energy   -12.642 eV/f.u.
Total DFT energy (no corrections)   -87.1 eV/cell

Lattice parameters (Å, degrees): 5.9494 5.9494 5.9494 61.02 61.02 61.02
Closest atoms and distances in Å follow each position.
Positions (direct):
Li: 0.1430 0.1430 0.1430  3 F 1.87, 1 O 1.90
Li: 0.8570 0.8570 0.8570  3 F 1.87, 1 O 1.90
Fe: 0.0000 0.5000 0.5000  2 O 1.94
Fe: 0.5000 0.0000 0.5000  2 O 1.94
Fe: 0.5000 0.5000 0.0000  2 O 1.94
Fe: 0.5000 0.5000 0.5000  6 F 2.09
O: 0.2741 0.2741 0.2741  1 Li 1.90, 3 Fe 1.94
O: 0.7259 0.7259 0.7259  1 Li 1.90, 3 Fe 1.94
F: 0.2352 0.7463 0.7463  1 Li 1.87
F: 0.2537 0.2537 0.7648  1 Li 1.87
F: 0.2537 0.7648 0.2537  1 Li 1.87
F: 0.7463 0.2352 0.7463  1 Li 1.87
F: 0.7463 0.7463 0.2352  1 Li 1.87
F: 0.7648 0.2537 0.2537  1 Li 1.87


Compound: Li5FeOF5
Source: Alexandria via LeMat-Bulk
Functional: GGA-PBEsol
Structure: relaxed

Summary:
Theoretical density   3197 kg/m3
Total magnetic moment   4.00 μB/f.u.
Crystal system   monoclinic
Raw formation energy   -29.748 eV/f.u.
Total DFT energy (no corrections)   -126.9 eV/cell

Lattice parameters (Å, degrees): 5.0274 5.0274 9.6291 94.50 94.50 119.45
Closest atoms and distances in Å follow each position.
Positions (direct):
Li: 0.0666 0.9334 0.5000  1 O 1.95, 5 F 2.04-2.17
Li: 0.1564 0.3288 0.7353  5 F 1.98-2.17, 1 O 1.99
Li: 0.2519 0.7510 0.9946  5 F 1.99-2.09, 1 O 2.00
Li: 0.3288 0.1564 0.2353  5 F 1.98-2.17, 1 O 1.99
Li: 0.4402 0.6160 0.4959  5 F 1.95-2.19, 1 O 1.99
Li: 0.6160 0.4402 0.9959  5 F 1.95-2.19, 1 O 1.99
Li: 0.6790 0.8322 0.2331  5 F 1.98-2.19, 1 O 1.98
Li: 0.7510 0.2519 0.4946  5 F 1.99-2.09, 1 O 2.00
Li: 0.8322 0.6790 0.7331  5 F 1.98-2.19, 1 O 1.98
Li: 0.9334 0.0666 0.0000  1 O 1.95, 5 F 2.04-2.17
Fe: 0.0049 0.5289 0.2331  1 O 1.83
Fe: 0.5289 0.0049 0.7331  1 O 1.83
O: 0.7904 0.9725 0.6204  1 Fe 1.83, 5 Li 1.95-2.00
O: 0.9725 0.7904 0.1204  1 Fe 1.83, 5 Li 1.95-2.00
F: 0.0427 0.2360 0.3612  5 Li 2.05-2.19, 1 Fe 2.06
F: 0.1085 0.6264 0.6127  5 Li 1.98-2.10, 1 Fe 2.18
F: 0.2360 0.0427 0.8612  5 Li 2.05-2.19, 1 Fe 2.06
F: 0.3112 0.4480 0.1136  5 Li 1.98-2.09, 1 Fe 2.16
F: 0.3894 0.9005 0.3733  5 Li 1.99-2.19, 1 Fe 2.17
F: 0.4480 0.3112 0.6136  5 Li 1.98-2.09, 1 Fe 2.16
F: 0.5506 0.6987 0.8723  5 Li 1.95-2.17, 1 Fe 2.16
F: 0.6264 0.1085 0.1127  5 Li 1.98-2.10, 1 Fe 2.18
F: 0.6987 0.5506 0.3723  5 Li 1.95-2.17, 1 Fe 2.16
F: 0.9005 0.3894 0.8733  5 Li 1.99-2.19, 1 Fe 2.17


Compound: Li3FeO2F2
Source: Alexandria via LeMat-Bulk
Functional: GGA-PBEsol
Structure: relaxed

Summary:
Theoretical density   3493 kg/m3
Total magnetic moment   5.00 μB/f.u.
Crystal system   monoclinic
Raw formation energy   -17.441 eV/f.u.
Total DFT energy (no corrections)   -93.3 eV/cell

Lattice parameters (Å, degrees): 4.9971 5.8546 5.0241 90.00 108.45 90.00
Closest atoms and distances in Å follow each position.
Positions (direct):
Li: 0.0000 0.1216 0.2500  4 F 2.03-2.05, 2 O 2.07
Li: 0.0000 0.8784 0.7500  4 F 2.03-2.05, 2 O 2.07
Li: 0.5000 0.1358 0.7500  4 F 2.02-2.10, 2 O 2.04
Li: 0.5000 0.3766 0.2500  4 O 2.08-2.12, 2 F 2.10
Li: 0.5000 0.6234 0.7500  4 O 2.08-2.12, 2 F 2.10
Li: 0.5000 0.8642 0.2500  4 F 2.02-2.10, 2 O 2.04
Fe: 0.0000 0.4064 0.7500  4 O 1.93-1.96
Fe: 0.0000 0.5936 0.2500  4 O 1.93-1.96
O: 0.2362 0.3746 0.5071  2 Fe 1.93-1.96, 4 Li 2.04-2.12
O: 0.2362 0.6254 0.0071  2 Fe 1.93-1.96, 4 Li 2.04-2.12
O: 0.7638 0.3746 0.9929  2 Fe 1.93-1.96, 4 Li 2.04-2.12
O: 0.7638 0.6254 0.4929  2 Fe 1.93-1.96, 4 Li 2.04-2.12
F: 0.2504 0.1204 0.9959  5 Li 2.02-2.10, 1 Fe 2.22
F: 0.2504 0.8796 0.4959  5 Li 2.02-2.10, 1 Fe 2.22
F: 0.7496 0.1204 0.5041  5 Li 2.02-2.10, 1 Fe 2.22
F: 0.7496 0.8796 0.0041  5 Li 2.02-2.10, 1 Fe 2.22


Look up the total magnetic moment of the first one. 8.00 μB/f.u.